No. 1
Density functional theory data (GGA-PBE) for a relaxed Y4Cd2Ag3 crystal.

* crystal system: monoclinic
* ρ: 6.812 Mg/m³
* final energy: -77.242 eV/cell
* magnetic moment: 0.00 μB per formula unit

Cell and atoms, written as CIF:
```
data_Y4Cd2Ag3
_cell_length_a 9.867
_cell_length_b 4.974
_cell_length_c 9.177
_cell_angle_alpha 90.00
_cell_angle_beta 101.87
_cell_angle_gamma 90.00
_space_group_name_H-M_alt 'C 1 2/m 1'
_space_group_IT_number 12
_space_group_name_Hall '-C 2y'
loop_
_atom_site_label
_atom_site_type_symbol
_atom_site_fract_x
_atom_site_fract_y
_atom_site_fract_z
Y1 Y 0.059 0.000 0.340
Y2 Y 0.144 0.500 0.898
Cd1 Cd 0.229 0.500 0.263
Ag1 Ag 0.000 0.000 0.000
Ag2 Ag 0.137 0.500 0.565
```

=====

No. 2
Density functional theory data (GGA-PBE) for a relaxed Y4Cd5Ag crystal.

* crystal system: monoclinic
* ρ: 6.827 Mg/m³
* final energy: -72.674 eV/cell
* magnetic moment: 0.00 μB per formula unit

Cell and atoms, written as CIF:
```
data_Y4Cd5Ag
_cell_length_a 15.687
_cell_length_b 5.129
_cell_length_c 6.464
_cell_angle_alpha 90.00
_cell_angle_beta 106.42
_cell_angle_gamma 90.00
_space_group_name_H-M_alt 'C 1 2/m 1'
_space_group_IT_number 12
_space_group_name_Hall '-C 2y'
loop_
_atom_site_label
_atom_site_type_symbol
_atom_site_fract_x
_atom_site_fract_y
_atom_site_fract_z
Y1 Y 0.096 0.000 0.387
Y2 Y 0.189 0.500 0.805
Cd1 Cd 0.000 0.500 0.000
Cd2 Cd 0.100 0.000 0.909
Cd3 Cd 0.201 0.500 0.306
Ag1 Ag 0.000 0.500 0.500
```

=====

No. 3
Density functional theory data (GGA-PBE) for a relaxed YCd6Ag12 crystal.

* crystal system: trigonal
* ρ: 8.362 Mg/m³
* final energy: -134.816 eV/cell
* magnetic moment: 0.00 μB per formula unit

Cell and atoms, written as CIF:
```
data_YCd6Ag12
_cell_length_a 12.2299
_cell_length_b 12.2299
_cell_length_c 9.4643
_cell_angle_alpha 90.00
_cell_angle_beta 90.00
_cell_angle_gamma 120.00
_space_group_name_H-M_alt 'R -3 m'
_space_group_IT_number 166
_space_group_name_Hall '-R 3 2"'
loop_
_atom_site_label
_atom_site_type_symbol
_atom_site_fract_x
_atom_site_fract_y
_atom_site_fract_z
Y1 Y 0.0000 0.0000 0.0000
Cd1 Cd 0.0671 0.5335 0.2362
Ag1 Ag 0.0000 0.3890 0.5000
Ag2 Ag 0.0807 0.1614 0.2684
```

=====

No. 4
Density functional theory data (GGA-PBE) for a relaxed Y2CdAg2 crystal.

* crystal system: tetragonal
* ρ: 6.932 Mg/m³
* energy above the lowest structure with this stoichiometry: 0 meV/atom
* final energy: -42.289 eV/cell
* magnetic moment: 0.00 μB per formula unit

Cell and atoms, written as CIF:
```
data_Y2CdAg2
_cell_length_a 7.856
_cell_length_b 7.856
_cell_length_c 3.928
_cell_angle_alpha 90.00
_cell_angle_beta 90.00
_cell_angle_gamma 90.00
_space_group_name_H-M_alt 'P 4/m b m'
_space_group_IT_number 127
_space_group_name_Hall '-P 4 2ab'
loop_
_atom_site_label
_atom_site_type_symbol
_atom_site_fract_x
_atom_site_fract_y
_atom_site_fract_z
Y1 Y 0.173 0.327 0.000
Cd1 Cd 0.000 0.000 0.500
Ag1 Ag 0.127 0.627 0.500
```

=====

| no. | N(E_F) (states/eV/atom) |
| --- | --- |
| 1 | 0.7724 |
| 2 | 0.6668 |
| 3 | 0.3883 |
| 4 | 1.4342 |